BC: relaxed, PBE.

Properties
Symmetry: No. 187
Offset from the most stable computed form: 0.328 eV/atom
DFT formation energy: 479 meV per atom

Lattice parameters (Å, degrees): 2.728 2.728 2.376 90.00 90.00 120.00
Sites, in units of the cell vectors:
C  0.667  0.333  0.000
B  0.333  0.667  0.000